Below is an optimized crystal structure of Ce4ZnRu4, with properties calculated at the PBE level.

Space-group type = I4/m (87)
Total magnetization = 0.00 μB per cell
ΔH_f (0 K) = -0.218 eV per atom
Energy = -7.1199 eV per atom

abc: 6.725 6.725 6.725
angles: 98.53 98.53 134.69
Sites, in units of the cell vectors:
Ce 0.089 0.698 0.787
Ce 0.302 0.089 0.391
Ce 0.698 0.911 0.609
Ce 0.911 0.302 0.213
Zn 0.500 0.500 0.000
Ru 0.232 0.406 0.638
Ru 0.406 0.768 0.174
Ru 0.594 0.232 0.826
Ru 0.768 0.594 0.362